[1]
DFT (PBE-GGA) results for Cs2BiRuF6 after structural relaxation.

Calculated values
- crystal system = tetragonal
- magnetization (Bohr magnetons per cell) = 1.00
- raw formation energy (kcal/mol of atoms) = -44.58

Unit cell a=6.494 b=6.494 c=6.506 alpha=60.06 beta=60.06 gamma=90.00
Fractional positions:
Cs 0.750 0.250 0.500
Cs 0.250 0.750 0.500
Ru 0.500 0.500 0.000
Bi 0.000 0.000 0.000
F 0.254 0.254 0.493
F 0.746 0.746 0.507
F 0.254 0.254 0.000
F 0.746 0.746 0.000
F 0.746 0.254 0.000
F 0.254 0.746 0.000


[2]
DFT (PBE-GGA) results for CaAc3In12 after structural relaxation.

Calculated values
- crystal system = tetragonal
- magnetization (Bohr magnetons per cell) = 0.00
- E_form (eV per atom) = -0.3753

Unit cell a=4.884 b=4.884 c=19.417 alpha=90.00 beta=90.00 gamma=90.00
Fractional positions:
Ca 0.000 0.000 0.000
Ac 0.000 0.000 0.242
Ac 0.000 0.000 0.500
Ac 0.000 0.000 0.758
In 0.500 0.500 0.000
In 0.500 0.500 0.253
In 0.500 0.500 0.500
In 0.500 0.500 0.747
In 0.500 0.000 0.115
In 0.500 0.000 0.372
In 0.500 0.000 0.628
In 0.500 0.000 0.885
In 0.000 0.500 0.115
In 0.000 0.500 0.372
In 0.000 0.500 0.628
In 0.000 0.500 0.885


[3]
DFT (PBE-GGA) results for Nd3Cd2 after structural relaxation.

Calculated values
- energy above the most stable polymorph in this dataset (meV/atom) = 156.1
- crystal system = monoclinic
- magnetization (Bohr magnetons per cell) = 1.41
- E_form (eV per atom) = -0.0911

Unit cell a=5.333 b=8.449 c=11.330 alpha=90.25 beta=90.00 gamma=108.40
Fractional positions:
Nd 0.826 0.653 0.007
Nd 0.174 0.347 0.993
Nd 0.840 0.680 0.327
Nd 0.160 0.320 0.673
Nd 0.167 0.334 0.333
Nd 0.833 0.666 0.667
Nd 0.493 0.986 0.340
Nd 0.507 0.014 0.660
Nd 0.500 0.000 0.000
Cd 0.673 0.345 0.494
Cd 0.327 0.655 0.506
Cd 0.661 0.321 0.173
Cd 0.339 0.679 0.827
Cd 0.006 0.012 0.160
Cd 0.994 0.988 0.840


[4]
DFT (PBE-GGA) results for TaCoSi2 after structural relaxation.

Calculated values
- crystal system = monoclinic
- magnetization (Bohr magnetons per cell) = 0.00
- raw formation energy (kcal/mol of atoms) = -5.84

Unit cell a=3.917 b=3.917 c=5.461 alpha=80.47 beta=80.47 gamma=41.97
Fractional positions:
Co 0.250 0.250 0.250
Si 0.991 0.991 0.059
Si 0.509 0.509 0.441
Ta 0.750 0.750 0.750


[5]
DFT (PBE-GGA) results for Te2Pd3I2 after structural relaxation.

Calculated values
- crystal system = monoclinic
- magnetization (Bohr magnetons per cell) = 0.00
- raw formation energy (kcal/mol of atoms) = -3.78

Unit cell a=3.957 b=7.192 c=6.969 alpha=104.07 beta=106.49 gamma=90.00
Fractional positions:
Te 0.862 0.648 0.724
Te 0.138 0.352 0.276
Pd 0.000 0.000 0.000
Pd 0.754 0.271 0.508
Pd 0.246 0.729 0.492
I 0.622 0.852 0.243
I 0.378 0.148 0.757


[6]
DFT (PBE-GGA) results for Eu3Er after structural relaxation.

Calculated values
- energy above the most stable polymorph in this dataset (meV/atom) = 0.0
- crystal system = orthorhombic
- magnetization (Bohr magnetons per cell) = 22.79
- E_form (eV per atom) = 0.0915

Unit cell a=3.767 b=6.631 c=7.204 alpha=117.40 beta=105.16 gamma=90.00
Fractional positions:
Eu 0.254 0.586 0.509
Eu 0.500 0.500 0.000
Eu 0.746 0.077 0.491
Er 0.000 0.004 0.000